LiAcGdSn: relaxed, PBE.

```
4
Lattice="0.000 3.911 3.911 3.911 0.000 3.911 3.911 3.911 0.000" Properties=species:S:1:pos:R:3 pbc="T T T"
Li 0.000 0.000 0.000
Ac 1.956 1.956 1.956
Gd 5.867 5.867 5.867
Sn 3.911 3.911 3.911
```

Summary:
The energy of formation comes out at -0.354 eV per atom. As for the density of states at the Fermi level: 6.1 states/eV/cell.

ThUC: relaxed, PBE.

```
3
Lattice="-1.558 1.558 5.872 1.558 -1.558 5.872 1.558 1.558 -5.872" Properties=species:S:1:pos:R:3 pbc="T T T"
Th 0.000 0.000 0.000
U 0.000 0.000 8.781
C 0.000 0.000 3.998
```

Summary:
The energy of formation comes out at 0.395 eV per atom. As for the density of states at the Fermi level: 5.7 states/eV/cell.

La2HoCu3Ni12: relaxed, PBE.

```
18
Lattice="3.181 1.837 8.370 -3.181 1.837 8.370 0.000 -3.673 8.370" Properties=species:S:1:pos:R:3 pbc="T T T"
La 0.000 0.000 3.420
La 0.000 0.000 21.691
Ho 0.000 0.000 12.555
Cu -1.591 -0.918 8.370
Cu -1.591 0.918 16.740
Cu 0.000 1.837 8.370
Ni -1.973 -1.139 10.798
Ni 0.000 -2.293 7.318
Ni -1.986 1.147 7.318
Ni -1.986 -1.147 17.793
Ni 0.000 -2.278 14.313
Ni -1.973 1.139 14.313
Ni 1.973 -1.139 10.798
Ni 0.000 2.278 10.798
Ni 1.986 1.147 7.318
Ni 1.986 -1.147 17.793
Ni 0.000 2.293 17.793
Ni 1.973 1.139 14.313
```

Summary:
The energy of formation comes out at 0.191 eV per atom. As for the density of states at the Fermi level: 23.3 states/eV/cell.

Np3NiAg4S8: relaxed, PBE.

```
16
Lattice="6.480 -3.889 0.000 6.480 3.889 0.000 -3.759 0.000 6.566" Properties=species:S:1:pos:R:3 pbc="T T T"
Np 0.000 0.000 0.000
Np 1.361 1.944 3.283
Np 1.361 -1.944 3.283
Ni 6.480 0.000 0.000
Ag -1.880 0.000 3.283
Ag 3.240 1.944 0.000
Ag 3.240 -1.944 0.000
Ag 4.601 0.000 3.283
S 0.093 0.000 4.713
S 2.212 0.000 1.596
S 3.405 1.632 5.110
S 5.796 1.632 1.456
S 3.405 -1.632 5.110
S 5.796 -1.632 1.456
S 6.989 0.000 4.970
S 9.108 0.000 1.853
```

Summary:
The uncorrected formation energy is -0.6659 eV per atom. As for the density of states at the Fermi level: 28.5 states/eV/cell.